A plane-wave DFT calculation with GGA-PBE was carried out for a relaxed structure of NiWI3.

Summary:
formation energy from raw total energies = 586 kJ/mol of formula units
magnetic moment = 4.28 μB/cell

abc: 5.573 5.573 5.573
angles: 90.00 90.00 90.00
Fractional coordinates of all 5 atoms:
Ni 0.000 0.000 0.000
W 0.500 0.500 0.500
I 0.000 0.500 0.500
I 0.500 0.000 0.500
I 0.500 0.500 0.000